(1)
SbOsPb2 after structural relaxation, computed with GGA-PBEsol.

* ΔE_f (raw): 0.478 eV/atom

a b c (Å): 6.976 6.976 6.976
angles (deg): 153.00 140.76 48.28
Positions (direct):
1 Sb 0.000 0.000 0.000
2 Os 0.835 0.335 0.500
3 Pb 0.311 0.811 0.500
4 Pb 0.631 0.631 0.000

***

(2)
ScTl2Os after structural relaxation, computed with GGA-PBEsol.

* uncorrected energy: -23.10 eV per cell

a b c (Å): 6.461 6.461 6.461
angles (deg): 151.60 138.04 51.44
Positions (direct):
1 Sc 0.000 0.000 0.000
2 Tl 0.311 0.811 0.500
3 Tl 0.607 0.607 0.000
4 Os 0.823 0.323 0.500

***

(3)
Rb2HgS after structural relaxation, computed with GGA-PBEsol.

* ΔE_f (raw): -0.668 eV/atom

a b c (Å): 5.615 5.615 5.615
angles (deg): 60.00 60.00 60.00
Positions (direct):
1 Rb 0.250 0.250 0.250
2 Rb 0.750 0.750 0.750
3 Hg 0.000 0.000 0.000
4 S 0.500 0.500 0.500

***

(4)
CsOsO2 after structural relaxation, computed with GGA-PBEsol.

* ΔE_f (raw): -0.589 eV/atom

a b c (Å): 6.709 6.709 6.709
angles (deg): 134.15 134.15 66.85
Positions (direct):
1 Cs 0.375 0.625 0.750
2 Cs 0.625 0.375 0.250
3 Os 0.125 0.875 0.250
4 Os 0.875 0.125 0.750
5 O 0.000 0.000 0.000
6 O 0.000 0.000 0.500
7 O 0.000 0.500 0.000
8 O 0.500 0.000 0.500

***

(5)
Li2MnO2F after structural relaxation, computed with GGA-PBEsol.

* ΔE_f (raw): -2.138 eV/atom

a b c (Å): 6.989 6.989 3.958
angles (deg): 90.00 90.00 147.56
Positions (direct):
1 Li 0.073 0.927 0.750
2 Li 0.239 0.761 0.250
3 Li 0.761 0.239 0.750
4 Li 0.927 0.073 0.250
5 Mn 0.419 0.581 0.750
6 Mn 0.581 0.419 0.250
7 O 0.089 0.911 0.250
8 O 0.426 0.574 0.250
9 O 0.574 0.426 0.750
10 O 0.911 0.089 0.750
11 F 0.259 0.741 0.750
12 F 0.741 0.259 0.250

***

(6)
Li2SnPb2 after structural relaxation, computed with GGA-PBEsol.

* uncorrected energy: -34.06 eV per cell

a b c (Å): 8.390 8.390 3.337
angles (deg): 90.00 90.00 90.00
Positions (direct):
1 Li 0.169 0.331 0.000
2 Li 0.331 0.831 0.000
3 Li 0.669 0.169 0.000
4 Li 0.831 0.669 0.000
5 Sn 0.000 0.000 0.500
6 Sn 0.500 0.500 0.500
7 Pb 0.132 0.632 0.500
8 Pb 0.368 0.132 0.500
9 Pb 0.632 0.868 0.500
10 Pb 0.868 0.368 0.500

***

(7)
NaSn3 after structural relaxation, computed with GGA-PBEsol.

* uncorrected energy: -29.28 eV per cell

a b c (Å): 6.611 6.611 5.394
angles (deg): 90.00 90.00 120.00
Positions (direct):
1 Na 0.333 0.667 0.250
2 Na 0.667 0.333 0.750
3 Sn 0.161 0.323 0.750
4 Sn 0.161 0.839 0.750
5 Sn 0.323 0.161 0.250
6 Sn 0.677 0.839 0.750
7 Sn 0.839 0.161 0.250
8 Sn 0.839 0.677 0.250

***

(8)
Sc2Ge2S after structural relaxation, computed with GGA-PBEsol.

* ΔE_f (raw): -0.893 eV/atom

a b c (Å): 7.631 7.631 7.631
angles (deg): 153.06 153.06 38.47
Positions (direct):
1 Sc 0.102 0.102 0.000
2 Sc 0.898 0.898 0.000
3 Ge 0.250 0.750 0.500
4 Ge 0.750 0.250 0.500
5 S 0.500 0.500 0.000

***

(9)
NaInSb3 after structural relaxation, computed with GGA-PBEsol.

* ΔE_f (raw): 0.483 eV/atom

a b c (Å): 5.609 5.609 5.609
angles (deg): 90.00 90.00 90.00
Positions (direct):
1 Na 0.000 0.000 0.000
2 In 0.500 0.500 0.500
3 Sb 0.000 0.500 0.500
4 Sb 0.500 0.000 0.500
5 Sb 0.500 0.500 0.000

***

(10)
CaAl2Ga2 after structural relaxation, computed with GGA-PBEsol.

* uncorrected energy: -18.83 eV per cell

a b c (Å): 6.236 6.236 6.236
angles (deg): 140.54 140.54 57.03
Positions (direct):
1 Ca 0.000 0.000 0.000
2 Al 0.250 0.750 0.500
3 Al 0.750 0.250 0.500
4 Ga 0.388 0.388 0.000
5 Ga 0.612 0.612 0.000

***

(11)
HgH2W after structural relaxation, computed with GGA-PBEsol.

* uncorrected energy: -15.95 eV per cell

a b c (Å): 3.923 3.923 3.923
angles (deg): 60.00 60.00 60.00
Positions (direct):
1 Hg 0.000 0.000 0.000
2 H 0.250 0.250 0.250
3 H 0.750 0.750 0.750
4 W 0.500 0.500 0.500

***

(12)
V2Si4O11 after structural relaxation, computed with GGA-PBEsol.

* ΔE_f (raw): -2.517 eV/atom

a b c (Å): 6.882 7.173 8.490
angles (deg): 100.33 101.76 104.08
Positions (direct):
1 V 0.112 0.381 0.112
2 V 0.386 0.617 0.891
3 V 0.614 0.383 0.109
4 V 0.888 0.619 0.888
5 Si 0.015 0.216 0.715
6 Si 0.271 0.987 0.104
7 Si 0.275 0.621 0.482
8 Si 0.454 0.209 0.717
9 Si 0.546 0.791 0.283
10 Si 0.725 0.379 0.518
11 Si 0.729 0.013 0.896
12 Si 0.985 0.784 0.285
13 O 0.083 0.419 0.871
14 O 0.106 0.745 0.453
15 O 0.111 0.965 0.220
16 O 0.181 0.790 0.945
17 O 0.196 0.418 0.334
18 O 0.208 0.152 0.676
19 O 0.311 0.207 0.066
20 O 0.316 0.584 0.665
21 O 0.431 0.585 0.131
22 O 0.482 0.763 0.451
23 O 0.490 0.971 0.208
24 O 0.510 0.029 0.792
25 O 0.518 0.237 0.549
26 O 0.569 0.415 0.869
27 O 0.684 0.416 0.335
28 O 0.689 0.793 0.934
29 O 0.792 0.848 0.324
30 O 0.804 0.582 0.666
31 O 0.819 0.210 0.055
32 O 0.889 0.035 0.780
33 O 0.894 0.255 0.547
34 O 0.917 0.581 0.129

***

(13)
TlTcSb after structural relaxation, computed with GGA-PBEsol.

* ΔE_f (raw): 0.615 eV/atom

a b c (Å): 4.551 4.551 3.501
angles (deg): 90.00 90.00 120.00
Positions (direct):
1 Tl 0.000 0.000 0.000
2 Tc 0.667 0.333 0.500
3 Sb 0.333 0.667 0.500

***

(14)
As2IrPt after structural relaxation, computed with GGA-PBEsol.

* uncorrected energy: -26.97 eV per cell

a b c (Å): 7.355 7.355 7.355
angles (deg): 26.82 26.82 26.82
Positions (direct):
1 As 0.000 0.000 0.000
2 As 0.223 0.223 0.223
3 Ir 0.494 0.494 0.494
4 Pt 0.731 0.731 0.731

***

(15)
ErSiNi after structural relaxation, computed with GGA-PBEsol.

* ΔE_f (raw): -0.896 eV/atom

a b c (Å): 6.708 4.092 7.021
angles (deg): 90.00 90.00 90.00
Positions (direct):
1 Er 0.010 0.250 0.200
2 Er 0.490 0.750 0.700
3 Er 0.510 0.250 0.300
4 Er 0.990 0.750 0.800
5 Si 0.190 0.250 0.589
6 Si 0.310 0.750 0.089
7 Si 0.690 0.250 0.911
8 Si 0.810 0.750 0.411
9 Ni 0.187 0.750 0.417
10 Ni 0.313 0.250 0.917
11 Ni 0.687 0.750 0.083
12 Ni 0.813 0.250 0.583

***

(16)
AlCoI2 after structural relaxation, computed with GGA-PBEsol.

* ΔE_f (raw): 0.327 eV/atom

a b c (Å): 6.509 6.509 6.509
angles (deg): 107.30 107.30 113.90
Positions (direct):
1 Al 0.000 0.000 0.000
2 Al 0.750 0.250 0.500
3 Co 0.250 0.750 0.500
4 Co 0.500 0.500 0.000
5 I 0.203 0.625 0.078
6 I 0.375 0.453 0.578
7 I 0.547 0.125 0.922
8 I 0.875 0.797 0.422

***

(17)
MgAl2Pb after structural relaxation, computed with GGA-PBEsol.

* uncorrected energy: -25.37 eV per cell

a b c (Å): 6.390 6.390 6.390
angles (deg): 101.48 101.48 127.00
Positions (direct):
1 Mg 0.000 0.000 0.000
2 Mg 0.750 0.250 0.500
3 Al 0.136 0.625 0.011
4 Al 0.375 0.386 0.511
5 Al 0.614 0.125 0.989
6 Al 0.875 0.864 0.489
7 Pb 0.250 0.750 0.500
8 Pb 0.500 0.500 0.000

***

(18)
Cd3B7O14 after structural relaxation, computed with GGA-PBEsol.

* ΔE_f (raw): -2.075 eV/atom

a b c (Å): 8.785 8.785 8.785
angles (deg): 60.37 60.37 60.37
Positions (direct):
1 Cd 0.102 0.702 0.696
2 Cd 0.196 0.202 0.602
3 Cd 0.202 0.602 0.196
4 Cd 0.602 0.196 0.202
5 Cd 0.696 0.102 0.702
6 Cd 0.702 0.696 0.102
7 B 0.048 0.048 0.048
8 B 0.081 0.082 0.380
9 B 0.082 0.380 0.081
10 B 0.380 0.081 0.082
11 B 0.396 0.901 0.908
12 B 0.401 0.896 0.408
13 B 0.408 0.401 0.896
14 B 0.548 0.548 0.548
15 B 0.581 0.880 0.582
16 B 0.582 0.581 0.880
17 B 0.880 0.582 0.581
18 B 0.896 0.408 0.401
19 B 0.901 0.908 0.396
20 B 0.908 0.396 0.901
21 O 0.028 0.465 0.215
22 O 0.037 0.205 0.894
23 O 0.044 0.916 0.428
24 O 0.167 0.167 0.167
25 O 0.205 0.894 0.037
26 O 0.215 0.028 0.465
27 O 0.219 0.445 0.909
28 O 0.367 0.367 0.367
29 O 0.394 0.705 0.537
30 O 0.409 0.945 0.719
31 O 0.416 0.544 0.928
32 O 0.428 0.044 0.916
33 O 0.445 0.909 0.219
34 O 0.465 0.215 0.028
35 O 0.528 0.715 0.965
36 O 0.537 0.394 0.705
37 O 0.544 0.928 0.416
38 O 0.667 0.667 0.667
39 O 0.705 0.537 0.394
40 O 0.715 0.965 0.528
41 O 0.719 0.409 0.945
42 O 0.867 0.867 0.867
43 O 0.894 0.037 0.205
44 O 0.909 0.219 0.445
45 O 0.916 0.428 0.044
46 O 0.928 0.416 0.544
47 O 0.945 0.719 0.409
48 O 0.965 0.528 0.715

***

(19)
ScGaCuI2 after structural relaxation, computed with GGA-PBEsol.

* ΔE_f (raw): 0.307 eV/atom

a b c (Å): 5.773 5.773 4.414
angles (deg): 90.00 90.00 90.00
Positions (direct):
1 Sc 0.000 0.000 0.000
2 Ga 0.500 0.500 0.500
3 Cu 0.500 0.500 0.000
4 I 0.000 0.500 0.500
5 I 0.500 0.000 0.500

***

(20)
NbSb2Ir after structural relaxation, computed with GGA-PBEsol.

* ΔE_f (raw): 0.411 eV/atom

a b c (Å): 6.049 6.049 6.049
angles (deg): 104.27 104.27 120.47
Positions (direct):
1 Nb 0.000 0.000 0.000
2 Nb 0.750 0.250 0.500
3 Sb 0.157 0.625 0.032
4 Sb 0.375 0.407 0.532
5 Sb 0.593 0.125 0.968
6 Sb 0.875 0.843 0.468
7 Ir 0.250 0.750 0.500
8 Ir 0.500 0.500 0.000

***

(21)
PbSCl2F after structural relaxation, computed with GGA-PBEsol.

* ΔE_f (raw): 0.033 eV/atom

a b c (Å): 5.176 5.176 5.371
angles (deg): 90.00 90.00 90.00
Positions (direct):
1 Pb 0.000 0.000 0.000
2 S 0.000 0.000 0.500
3 Cl 0.000 0.500 0.000
4 Cl 0.500 0.000 0.000
5 F 0.500 0.500 0.500

***

(22)
KSn3Pd after structural relaxation, computed with GGA-PBEsol.

* uncorrected energy: -12.24 eV per cell

a b c (Å): 5.528 5.528 5.528
angles (deg): 90.00 90.00 90.00
Positions (direct):
1 K 0.000 0.000 0.000
2 Sn 0.000 0.000 0.500
3 Sn 0.000 0.500 0.000
4 Sn 0.500 0.000 0.000
5 Pd 0.500 0.500 0.500

***

(23)
Zn4Au after structural relaxation, computed with GGA-PBEsol.

* uncorrected energy: -10.81 eV per cell

a b c (Å): 4.746 4.746 4.746
angles (deg): 99.27 99.27 132.68
Positions (direct):
1 Zn 0.098 0.306 0.404
2 Zn 0.306 0.902 0.207
3 Zn 0.694 0.098 0.793
4 Zn 0.902 0.694 0.596
5 Au 0.500 0.500 0.000